# 1
Density functional theory data (PBE-GGA) for an optimized crystal structure of HfAlS3.

Cell: 4.5221 4.5221 4.5221 Å, 90.00 90.00 90.00°
Closest atoms and distances in Å follow each position.
Space group Pm-3m (No. 221)
Inequivalent atoms, fractional coordinates:
Hf1 0.0000 0.0000 0.0000 x1  12 S 3.20
Al1 0.5000 0.5000 0.5000 x1  6 S 2.26
S1 0.0000 0.5000 0.5000 x3  2 Al 2.26

formation energy without anion corrections: -0.3196 eV per atom
theoretical density: 5.4 g/cm3
ΔE to the lowest computed polymorph: 897 meV/atom

***

# 2
Density functional theory data (PBE-GGA) for an optimized crystal structure of HfAl3S.

Cell: 4.6246 4.6246 4.6246 Å, 90.00 90.00 90.00°
Closest atoms and distances in Å follow each position.
Space group Pm-3m (No. 221)
Inequivalent atoms, fractional coordinates:
Hf1 0.0000 0.0000 0.0000 x1  12 Al 3.27
Al1 0.0000 0.5000 0.5000 x3  2 S 2.31
S1 0.5000 0.5000 0.5000 x1  6 Al 2.31

formation energy without anion corrections: 0.3765 eV per atom
theoretical density: 4.9 g/cm3
ΔE to the lowest computed polymorph: 0 meV/atom

***

# 3
Density functional theory data (PBE-GGA) for an optimized crystal structure of HfAlS3.

Cell: 4.9460 4.9460 4.9460 Å, 90.00 90.00 90.00°
Closest atoms and distances in Å follow each position.
Space group Pm-3m (No. 221)
Inequivalent atoms, fractional coordinates:
Hf1 0.0000 0.0000 0.0000 x1  6 S 2.47
Al1 0.5000 0.5000 0.5000 x1  12 S 3.50
S1 0.0000 0.0000 0.5000 x3  2 Hf 2.47

formation energy without anion corrections: -0.5478 eV per atom
theoretical density: 4.1 g/cm3
ΔE to the lowest computed polymorph: 669 meV/atom

***

# 4
Density functional theory data (PBE-GGA) for an optimized crystal structure of Hf4AlS.

Cell: 12.7366 3.2146 6.6341 Å, 90.00 114.87 90.00°
Closest atoms and distances in Å follow each position.
Space group C2/m (No. 12)
Inequivalent atoms, fractional coordinates:
Hf1 0.1493 0.0000 0.3028 x4  2 S 2.65, 1 Al 2.72
Hf2 0.1499 0.5000 0.8392 x4  1 S 2.55, 2 Al 2.77
Al1 0.0000 0.0000 0.5000 x2  6 Hf 2.72-2.77
S1 0.0000 0.5000 0.0000 x2  6 Hf 2.55-2.65

formation energy without anion corrections: -0.3690 eV per atom
theoretical density: 10.4 g/cm3

***

# 5
Density functional theory data (PBE-GGA) for an optimized crystal structure of HfAlSeS2.

Cell: 4.8114 4.8114 5.1331 Å, 90.00 90.00 90.00°
Closest atoms and distances in Å follow each position.
Space group P4/mmm (No. 123)
Inequivalent atoms, fractional coordinates:
Hf1 0.0000 0.0000 0.0000 x1  2 Se 2.57
Al1 0.5000 0.5000 0.0000 x1  4 Hf 3.40, 8 S 3.52
Se1 0.0000 0.0000 0.5000 x1  4 S 2.41, 2 Hf 2.57
S1 0.0000 0.5000 0.5000 x2  2 Se 2.41

formation energy without anion corrections: 0.6500 eV per atom
theoretical density: 4.9 g/cm3

***

# 6
Density functional theory data (PBE-GGA) for an optimized crystal structure of HfAlTeS2.

Cell: 4.8338 4.8338 5.9122 Å, 90.00 90.00 90.00°
Closest atoms and distances in Å follow each position.
Space group P4/mmm (No. 123)
Inequivalent atoms, fractional coordinates:
Hf1 0.0000 0.0000 0.0000 x1  4 S 2.42
Al1 0.5000 0.5000 0.5000 x1  4 Te 3.42, 8 S 3.82
Te1 0.0000 0.0000 0.5000 x1  2 Hf 2.96
S1 0.0000 0.5000 0.0000 x2  2 Hf 2.42

formation energy without anion corrections: -0.4561 eV per atom
theoretical density: 4.8 g/cm3

***

# 7
Density functional theory data (PBE-GGA) for an optimized crystal structure of Hf8Al2Sb.

Cell: 7.7986 12.8490 5.2308 Å, 90.00 113.32 90.00°
Closest atoms and distances in Å follow each position.
Space group C2/m (No. 12)
Inequivalent atoms, fractional coordinates:
Hf1 0.0000 0.2296 0.0000 x4  2 Al 2.79, 1 Sb 2.95, 2 Hf 3.07
Hf2 0.0868 0.5000 0.7988 x4  6 Hf 2.87-3.18, 2 Al 2.88, 1 Sb 2.97
Hf3 0.2043 0.1178 0.6268 x8  2 Al 2.82, 4 Hf 2.93-3.14
Al1 0.0000 0.3057 0.5000 x4  8 Hf 2.79-2.88
Sb1 0.0000 0.0000 0.0000 x2  4 Hf 2.95-2.97

formation energy without anion corrections: -0.0816 eV per atom
theoretical density: 11.1 g/cm3

***

# 8
Density functional theory data (PBE-GGA) for an optimized crystal structure of HfAlSb2.

Cell: 6.5069 6.5069 12.4425 Å, 90.00 90.00 90.00°
Closest atoms and distances in Å follow each position.
Space group I-42d (No. 122)
Inequivalent atoms, fractional coordinates:
Hf1 0.0000 0.0000 0.0000 x4  4 Sb 2.82
Al1 0.0000 0.0000 0.5000 x4  4 Sb 2.73
Sb1 0.2376 0.2500 0.6250 x8  2 Al 2.73, 2 Hf 2.82

formation energy without anion corrections: 0.1433 eV per atom
theoretical density: 5.7 g/cm3

***

# 9
Density functional theory data (PBE-GGA) for an optimized crystal structure of HfAl3Sb.

Cell: 5.1174 5.1174 5.1174 Å, 90.00 90.00 90.00°
Closest atoms and distances in Å follow each position.
Space group Pm-3m (No. 221)
Inequivalent atoms, fractional coordinates:
Hf1 0.0000 0.0000 0.0000 x1  12 Al 3.62
Al1 0.0000 0.5000 0.5000 x3  2 Sb 2.56
Sb1 0.5000 0.5000 0.5000 x1  6 Al 2.56

formation energy without anion corrections: 1.1575 eV per atom
theoretical density: 4.7 g/cm3
ΔE to the lowest computed polymorph: 193 meV/atom

***

# 10
Density functional theory data (PBE-GGA) for an optimized crystal structure of HfAlSb.

Cell: 3.9596 3.9596 8.3414 Å, 90.00 90.00 90.00°
Closest atoms and distances in Å follow each position.
Space group P4/nmm (No. 129, origin choice 2)
Inequivalent atoms, fractional coordinates:
Hf1 0.2500 0.2500 0.2315 x2  5 Sb 2.90-3.12, 4 Al 2.99
Al1 0.2500 0.7500 0.5000 x2  4 Al 2.80, 4 Hf 2.99
Sb1 0.2500 0.2500 0.8578 x2  5 Hf 2.90-3.12

formation energy without anion corrections: -0.2944 eV per atom
theoretical density: 8.3 g/cm3

***

# 11
Density functional theory data (PBE-GGA) for an optimized crystal structure of Hf7Al2Sb2.

Cell: 3.6707 14.5105 9.0285 Å, 90.00 90.00 90.00°
Closest atoms and distances in Å follow each position.
Space group Imm2 (No. 44)
Inequivalent atoms, fractional coordinates:
Hf1 0.0000 0.0000 0.0000 x2  3 Al 2.94-2.97, 2 Sb 3.29
Hf2 0.0000 0.1189 0.4148 x4  3 Al 2.89-2.90, 2 Sb 2.95, 2 Hf 3.12
Hf3 0.0000 0.3257 0.6501 x4  1 Al 2.70, 3 Sb 2.81-2.92
Hf4 0.0000 0.3526 0.2068 x4  2 Al 2.84, 3 Sb 2.91-3.16
Al1 0.0000 0.0000 0.6712 x2  7 Hf 2.84-2.97
Al2 0.0000 0.5000 0.7546 x2  8 Hf 2.70-2.94
Sb1 0.0000 0.2219 0.9269 x4  7 Hf 2.81-2.95

formation energy without anion corrections: -0.2253 eV per atom
theoretical density: 10.7 g/cm3

***

# 12
Density functional theory data (PBE-GGA) for an optimized crystal structure of HfAl2Sb2.

Cell: 7.5584 7.5584 3.9265 Å, 90.00 90.00 90.00°
Closest atoms and distances in Å follow each position.
Space group P4/mbm (No. 127)
Inequivalent atoms, fractional coordinates:
Hf1 0.0000 0.0000 0.0000 x2  4 Sb 2.87
Al1 0.1534 0.3466 0.5000 x4  6 Sb 2.86-3.03
Sb1 0.1521 0.6521 0.0000 x4  6 Al 2.86-3.03, 2 Hf 2.87

formation energy without anion corrections: 0.0868 eV per atom
theoretical density: 7.0 g/cm3
ΔE to the lowest computed polymorph: 27 meV/atom

***

# 13
Density functional theory data (PBE-GGA) for an optimized crystal structure of HfAlSb.

Cell: 3.8348 9.0851 7.7613 Å, 90.00 90.00 90.00°
Closest atoms and distances in Å follow each position.
Space group Pmc2_1 (No. 26)
Inequivalent atoms, fractional coordinates:
Hf1 0.0000 0.0510 0.0000 x2  3 Al 2.77-2.84, 4 Sb 2.93-2.96
Hf2 0.0000 0.3476 0.3478 x2  3 Al 2.88-2.91, 6 Sb 2.95-3.13
Al1 0.0000 0.2154 0.6888 x2  1 Al 2.57, 2 Hf 2.83-2.84
Al2 0.0000 0.3557 0.9770 x2  1 Al 2.57, 3 Hf 2.77-2.88, 2 Sb 2.87
Sb1 0.5000 0.1074 0.2821 x2  6 Hf 2.93-2.96
Sb2 0.5000 0.4510 0.6341 x2  4 Al 2.87-2.90, 4 Hf 3.08-3.13

formation energy without anion corrections: -0.1731 eV per atom
theoretical density: 8.0 g/cm3